1.
SrMnReAs2 | Alexandria | PBE | relaxed; raw total energy = -5.88 eV/atom; space-group type = P4/mmm; formation energy = 0.64 eV/atom
1.0
4.7948 0.0000 0.0000
0.0000 4.7948 0.0000
0.0000 0.0000 6.0528
Sr Mn Re As
1 1 1 2
direct
0.0000 0.0000 0.0000
0.5000 0.5000 0.0000
0.0000 0.0000 0.5000
0.0000 0.5000 0.5000
0.5000 0.0000 0.5000

***

2.
LiCaTeRh | Alexandria | PBE | relaxed; raw total energy = -4.24 eV/atom; formation energy from raw total energies = -0.64 eV per atom; space-group type = F-43m
1.0
6.6972 0.0000 0.0000
0.0000 6.6972 0.0000
0.0000 0.0000 6.6972
Li Ca Te Rh
4 4 4 4
direct
0.0000 0.0000 0.0000
0.0000 0.5000 0.5000
0.5000 0.0000 0.5000
0.5000 0.5000 0.0000
0.2500 0.2500 0.2500
0.2500 0.7500 0.7500
0.7500 0.2500 0.7500
0.7500 0.7500 0.2500
0.2500 0.2500 0.7500
0.2500 0.7500 0.2500
0.7500 0.2500 0.2500
0.7500 0.7500 0.7500
0.0000 0.0000 0.5000
0.0000 0.5000 0.0000
0.5000 0.0000 0.0000
0.5000 0.5000 0.5000

***

3.
As2PPtBr | Alexandria | PBE | relaxed; raw total energy = -3.63 eV/atom; formation energy from raw total energies = 0.85 eV per atom; space-group type = P4/mmm
1.0
4.8958 0.0000 0.0000
0.0000 4.8958 0.0000
0.0000 0.0000 5.0591
As P Pt Br
2 1 1 1
direct
0.0000 0.5000 0.0000
0.5000 0.0000 0.0000
0.0000 0.0000 0.5000
0.5000 0.5000 0.0000
0.5000 0.5000 0.5000

***

4.
Ac6Ge2Se3Cl | Alexandria | PBE | relaxed; raw total energy = -5.34 eV/atom; formation energy from raw total energies = -1.49 eV per atom; space-group type = C2/m
1.0
9.8528 -2.2671 0.0000
9.8528 2.2671 0.0000
-2.1005 0.0000 8.7823
Ac Ge Se Cl
6 2 3 1
direct
0.0032 0.0032 0.2631
0.3302 0.3302 0.4232
0.3298 0.3298 0.9065
0.6702 0.6702 0.0935
0.6698 0.6698 0.5768
0.9968 0.9968 0.7369
0.1632 0.1632 0.3263
0.8368 0.8368 0.6737
0.1649 0.1649 0.8348
0.5000 0.5000 0.5000
0.8351 0.8351 0.1652
0.5000 0.5000 0.0000

***

5.
CaLa2YN | Alexandria | PBE | relaxed; raw total energy = -5.80 eV/atom; formation energy from raw total energies = -0.47 eV per atom; space-group type = P4/mmm
1.0
5.4029 0.0000 0.0000
0.0000 5.4029 0.0000
0.0000 0.0000 4.8359
Ca La Y N
1 2 1 1
direct
0.0000 0.0000 0.0000
0.0000 0.5000 0.5000
0.5000 0.0000 0.5000
0.5000 0.5000 0.0000
0.5000 0.5000 0.5000

***

6.
Li14HgAu | Alexandria | PBE | relaxed; raw total energy = -2.06 eV/atom; space-group type = P4/mmm; formation energy = -0.16 eV/atom
1.0
6.1596 0.0000 0.0000
0.0000 6.1596 0.0000
0.0000 0.0000 7.6640
Li Hg Au
14 1 1
direct
0.0000 0.0000 0.0000
0.0000 0.5000 0.0000
0.0000 0.5000 0.5000
0.2441 0.2441 0.2711
0.2441 0.2441 0.7289
0.2441 0.7559 0.2711
0.2441 0.7559 0.7289
0.5000 0.0000 0.0000
0.5000 0.0000 0.5000
0.5000 0.5000 0.0000
0.7559 0.2441 0.2711
0.7559 0.2441 0.7289
0.7559 0.7559 0.2711
0.7559 0.7559 0.7289
0.5000 0.5000 0.5000
0.0000 0.0000 0.5000

***

7.
KTeAs | Alexandria | PBE | relaxed; raw total energy = -2.99 eV/atom; formation energy from raw total energies = -0.03 eV per atom; space-group type = F-43m
1.0
7.4205 0.0000 0.0000
0.0000 7.4205 0.0000
0.0000 0.0000 7.4205
K Te As
4 4 4
direct
0.0000 0.0000 0.0000
0.0000 0.5000 0.5000
0.5000 0.0000 0.5000
0.5000 0.5000 0.0000
0.0000 0.0000 0.5000
0.0000 0.5000 0.0000
0.5000 0.0000 0.0000
0.5000 0.5000 0.5000
0.2500 0.2500 0.7500
0.2500 0.7500 0.2500
0.7500 0.2500 0.2500
0.7500 0.7500 0.7500

***

8.
K2BP2O8 | Alexandria | PBE | relaxed; raw total energy = -6.74 eV/atom; formation energy from raw total energies = -2.17 eV per atom; space-group type = I-42d
1.0
-3.6791 3.6791 7.3439
3.6791 -3.6791 7.3439
3.6791 3.6791 -7.3439
K B P O
4 2 4 16
direct
0.0061 0.1250 0.3811
0.3750 0.9939 0.1189
0.7439 0.6250 0.6189
0.8750 0.2561 0.8811
0.2500 0.7500 0.5000
0.5000 0.5000 0.0000
0.2373 0.6250 0.1123
0.3750 0.4873 0.6123
0.5127 0.1250 0.8877
0.8750 0.7627 0.3877
0.0283 0.6917 0.3307
0.0725 0.4363 0.8499
0.1636 0.8137 0.1362
0.1863 0.3225 0.3499
0.3024 0.9717 0.6634
0.3083 0.6390 0.3366
0.3610 0.6976 0.6693
0.3890 0.5583 0.8366
0.4417 0.2783 0.8307
0.4476 0.6110 0.1693
0.5637 0.4136 0.6362
0.5864 0.2226 0.1501
0.6775 0.0274 0.8638
0.7217 0.5524 0.1634
0.7774 0.9275 0.3638
0.9726 0.8364 0.6501

***

9.
P2HSe | Alexandria | PBE | relaxed; raw total energy = -4.42 eV/atom; space-group type = P1
1.0
5.6676 0.0000 0.0000
1.8330 5.4030 0.0000
1.8610 0.0129 5.9732
P H Se
4 2 2
direct
0.0000 0.0000 0.0000
0.0681 0.3346 0.8051
0.1561 0.5034 0.2699
0.3897 0.3767 0.9170
0.3412 0.6198 0.2830
0.8781 0.1333 0.2070
0.3089 0.1475 0.4669
0.6387 0.9660 0.9303

***

10.
Ca3Pm2Mg3 | Alexandria | PBE | relaxed; raw total energy = -2.58 eV/atom; space-group type = Immm; formation energy = -0.04 eV/atom
1.0
3.8060 0.0000 0.0000
0.0000 5.6830 0.0000
0.0000 0.0000 23.7242
Ca Pm Mg
6 4 6
direct
0.0000 0.0000 0.0000
0.0000 0.5000 0.1247
0.0000 0.5000 0.8753
0.5000 0.0000 0.3753
0.5000 0.0000 0.6247
0.5000 0.5000 0.5000
0.0000 0.0000 0.2341
0.0000 0.0000 0.7659
0.5000 0.5000 0.2659
0.5000 0.5000 0.7341
0.0000 0.0000 0.5000
0.0000 0.5000 0.3818
0.0000 0.5000 0.6182
0.5000 0.0000 0.1182
0.5000 0.0000 0.8818
0.5000 0.5000 0.0000

***

11.
Na2Tl2PbO6 | Alexandria | PBE | relaxed; raw total energy = -4.72 eV/atom; formation energy from raw total energies = -1.01 eV per atom; space-group type = C2/m
1.0
2.9752 -5.0568 0.0000
2.9752 5.0568 0.0000
-2.0246 0.0000 5.6603
Na Tl Pb O
2 2 1 6
direct
0.1726 0.8274 0.0000
0.8274 0.1726 0.0000
0.3351 0.6649 0.5000
0.6649 0.3351 0.5000
0.0000 0.0000 0.5000
0.0579 0.3901 0.7141
0.2441 0.2441 0.2934
0.3901 0.0579 0.7141
0.6099 0.9421 0.2859
0.7559 0.7559 0.7066
0.9421 0.6099 0.2859

***

12.
Ce6Bi5Br | Alexandria | PBE | relaxed; raw total energy = -5.57 eV/atom; formation energy from raw total energies = -0.85 eV per atom; space-group type = C2/m
1.0
3.9564 -6.8254 0.0000
3.9564 6.8254 0.0000
-2.6233 0.0000 7.4864
Ce Bi Br
6 5 1
direct
0.0830 0.4145 0.7489
0.2481 0.2481 0.2493
0.4145 0.0830 0.7489
0.5855 0.9170 0.2511
0.7519 0.7519 0.7507
0.9170 0.5855 0.2511
0.1677 0.8323 0.0000
0.3334 0.6666 0.5000
0.5000 0.5000 0.0000
0.6666 0.3334 0.5000
0.8323 0.1677 0.0000
0.0000 0.0000 0.5000